PBEsol BaCa2Hg2, relaxed; E above lowest polymorph = 0.0 meV per atom
1.0
4.297 0.000 0.000
0.000 8.641 0.000
0.000 0.000 8.641
Hg Ca Ba
4 4 2
direct
0.000 0.131 0.369
0.000 0.869 0.631
0.000 0.631 0.131
0.000 0.369 0.869
0.500 0.156 0.656
0.500 0.344 0.156
0.500 0.656 0.844
0.500 0.844 0.344
0.000 0.000 0.000
0.000 0.500 0.500

=====

This record from the Alexandria database describes an optimized crystal structure of BaCa2Hg. The functional is PBEsol.

POSCAR file:
```
BaCa2Hg
1.0
3.947 0.000 0.000
0.000 3.947 0.000
0.000 0.000 9.498
Hg Ca Ba
1 2 1
direct
0.000 0.000 0.534
0.500 0.500 0.693
0.000 0.000 0.970
0.500 0.500 0.304
```

=====

| no. | calculated formation energy (eV/atom) |
| --- | --- |
| 1 | -0.447 |
| 2 | -0.296 |